(1)
DFT (meta-GGA SCAN) results for TlAgTe2 at its PBEsol-relaxed geometry.

Results
V = 103 Å³ per cell
Raw formation energy = 0.241 eV per atom
Density of states at the Fermi level = 2.3 states/eV per cell

POSCAR file:
```
TlAgTe2
1.0
-3.1299 -1.9318 3.7515
-1.8324 -4.9093 -0.3780
1.7820 -3.7263 3.2467
Te Tl Ag
2 1 1
Direct
0.0000 0.0000 0.0000
0.7500 0.7500 0.7500
0.2500 0.2500 0.2500
0.5000 0.5000 0.5000
```

=====

(2)
DFT (meta-GGA SCAN) results for Zn2FeTc at its PBEsol-relaxed geometry.

Results
Calculated total energy = -80.12 eV per cell
V = 50 Å³ per cell
Density of states at the Fermi level = 1.5 states/eV per cell

POSCAR file:
```
Zn2FeTc
1.0
-1.6206 -2.0868 -0.7077
0.3522 -1.1125 2.4739
-5.3565 3.3851 2.2850
Tc Zn Fe
1 2 1
Direct
0.5000 0.5000 0.7251
0.0000 0.0000 0.0026
0.5000 0.5000 0.2677
0.0000 0.0000 0.5046
```

=====

(3)
DFT (meta-GGA SCAN) results for KMn2Pt at its PBEsol-relaxed geometry.

Results
Calculated total energy = -114.34 eV per cell
V = 70 Å³ per cell
Density of states at the Fermi level = 3.6 states/eV per cell

POSCAR file:
```
KMn2Pt
1.0
-0.8381 2.1917 1.6223
-2.7013 -0.8987 -0.1812
1.1254 -4.8105 7.0781
Mn K Pt
2 1 1
Direct
0.9999 0.0000 0.0784
0.4999 0.5000 0.2545
0.5002 0.5000 0.7333
0.0000 0.0000 0.4339
```

=====

(4)
DFT (meta-GGA SCAN) results for CdRePt2 at its PBEsol-relaxed geometry.

Results
Calculated total energy = -242.14 eV per cell
V = 62 Å³ per cell
Density of states at the Fermi level = 3.3 states/eV per cell

POSCAR file:
```
CdRePt2
1.0
2.7989 0.0000 0.0000
1.3994 2.4239 0.0000
1.3994 0.8080 9.1960
Re Cd Pt
1 1 2
Direct
0.5000 0.5000 0.5000
0.0000 0.0000 0.0000
0.2456 0.2456 0.2631
0.7544 0.7544 0.7369
```

=====

Number 2 is which compound? Zn2FeTc